VASP calculation (PBE with a Hubbard U) on a relaxed structure of BeRe2MoF.

```
5
Lattice="4.643 0.000 0.000 0.000 3.087 0.000 0.000 0.000 4.643" Properties=species:S:1:pos:R:3 pbc="T T T"
Mo 2.322 1.543 2.322
F 0.000 0.000 0.000
Be 0.000 1.543 0.000
Re 0.000 0.000 2.322
Re 2.322 0.000 0.000
```

Crystal system: tetragonal
Symmetry: P4/mmm
Total magnetization in μB per formula unit: 0.08
DFT total energy in eV/atom: -6.70